A:
LaBiCl2 after structural relaxation, computed with PBE.

Calculated values
**Space-group type**: No. 166
**Calculated volume**: 30.75 Å³/atom
**Magnetic moment**: 0.0 μB per formula unit

Cell and atoms, written as extended XYZ:
```
4
Lattice="1.839 1.062 10.499 -1.839 1.062 10.499 0.000 -2.124 10.499" Properties=species:S:1:pos:R:3 pbc="T T T"
La 0.000 0.000 0.000
Bi 0.000 0.000 15.748
Cl 0.000 0.000 2.716
Cl 0.000 0.000 28.780
```

B:
LaBiCl2 after structural relaxation, computed with PBE.

Calculated values
**Space-group type**: No. 225
**Calculated volume**: 26.15 Å³/atom
**Magnetic moment**: 0.0 μB per formula unit

Cell and atoms, written as extended XYZ:
```
4
Lattice="0.000 3.740 3.740 3.740 0.000 3.740 3.740 3.740 0.000" Properties=species:S:1:pos:R:3 pbc="T T T"
La 0.000 0.000 0.000
Bi 3.740 3.740 3.740
Cl 1.870 1.870 1.870
Cl 5.609 5.609 5.609
```

The least stable of them is A.

A:
La2BiCl after structural relaxation, computed with PBE.

Calculated values
**Space-group type**: No. 122
**Calculated volume**: 41.85 Å³/atom
**Magnetic moment**: 0.0 μB per formula unit

Cell and atoms, written as extended XYZ:
```
8
Lattice="-3.358 3.358 7.422 3.358 -3.358 7.422 3.358 3.358 -7.422" Properties=species:S:1:pos:R:3 pbc="T T T"
La 5.037 1.453 -1.856
La 1.453 1.679 1.856
La -1.679 1.905 5.567
La 1.905 1.679 9.278
Bi 3.358 0.000 3.711
Bi 0.000 0.000 7.422
Cl 0.000 0.000 0.000
Cl 0.000 3.358 3.711
```

B:
La2BiCl after structural relaxation, computed with PBE.

Calculated values
**Space-group type**: No. 166
**Calculated volume**: 30.99 Å³/atom
**Magnetic moment**: 0.0 μB per formula unit

Cell and atoms, written as extended XYZ:
```
4
Lattice="2.256 1.302 7.032 -2.256 1.302 7.032 0.000 -2.605 7.032" Properties=species:S:1:pos:R:3 pbc="T T T"
La 0.000 0.000 5.068
La 0.000 0.000 16.027
Bi 0.000 0.000 0.000
Cl 0.000 0.000 10.548
```

C:
La2BiCl after structural relaxation, computed with PBE.

Calculated values
**Space-group type**: No. 225
**Calculated volume**: 29.40 Å³/atom
**Magnetic moment**: 0.0 μB per formula unit

Cell and atoms, written as extended XYZ:
```
4
Lattice="0.000 3.889 3.889 3.889 0.000 3.889 3.889 3.889 0.000" Properties=species:S:1:pos:R:3 pbc="T T T"
La 1.944 1.944 1.944
La 5.833 5.833 5.833
Bi 0.000 0.000 0.000
Cl 3.889 3.889 3.889
```

The least stable of them is A.

A:
LaBiP2Cl after structural relaxation, computed with PBE.

Calculated values
**Space-group type**: No. 123
**Calculated volume**: 28.76 Å³/atom
**Magnetic moment**: 0.0 μB per formula unit

Cell and atoms, written as extended XYZ:
```
5
Lattice="5.269 0.000 0.000 0.000 5.269 0.000 0.000 0.000 5.180" Properties=species:S:1:pos:R:3 pbc="T T T"
La 0.000 0.000 0.000
Bi 2.635 2.635 2.590
P 0.000 2.635 2.590
P 2.635 0.000 2.590
Cl 2.635 2.635 0.000
```

B:
LaBiP2Cl after structural relaxation, computed with PBE.

Calculated values
**Space-group type**: No. 123
**Calculated volume**: 32.97 Å³/atom
**Magnetic moment**: 0.0 μB per formula unit

Cell and atoms, written as extended XYZ:
```
5
Lattice="5.601 0.000 0.000 0.000 5.601 0.000 0.000 0.000 5.255" Properties=species:S:1:pos:R:3 pbc="T T T"
La 0.000 0.000 0.000
Bi 2.801 2.801 2.628
P 0.000 2.801 0.000
P 2.801 0.000 0.000
Cl 0.000 0.000 2.628
```

The least stable of them is B.

A:
LaBiPCl2 after structural relaxation, computed with PBE.

Calculated values
**Space-group type**: No. 123
**Calculated volume**: 34.93 Å³/atom
**Magnetic moment**: 1.0 μB per formula unit

Cell and atoms, written as extended XYZ:
```
5
Lattice="5.368 0.000 0.000 0.000 5.368 0.000 0.000 0.000 6.062" Properties=species:S:1:pos:R:3 pbc="T T T"
La 0.000 0.000 0.000
Bi 2.684 2.684 3.031
P 0.000 0.000 3.031
Cl 0.000 2.684 0.000
Cl 2.684 0.000 0.000
```

B:
LaBiPCl2 after structural relaxation, computed with PBE.

Calculated values
**Space-group type**: No. 123
**Calculated volume**: 31.46 Å³/atom
**Magnetic moment**: 0.5 μB per formula unit

Cell and atoms, written as extended XYZ:
```
5
Lattice="5.314 0.000 0.000 0.000 5.314 0.000 0.000 0.000 5.571" Properties=species:S:1:pos:R:3 pbc="T T T"
La 0.000 0.000 0.000
Bi 2.657 2.657 2.785
P 2.657 2.657 0.000
Cl 0.000 2.657 2.785
Cl 2.657 0.000 2.785
```

The least stable of them is B.

A:
LaBiS2Cl after structural relaxation, computed with PBE.

Calculated values
**Space-group type**: No. 123
**Calculated volume**: 30.22 Å³/atom
**Magnetic moment**: 0.6 μB per formula unit

Cell and atoms, written as extended XYZ:
```
5
Lattice="5.359 0.000 0.000 0.000 5.359 0.000 0.000 0.000 5.261" Properties=species:S:1:pos:R:3 pbc="T T T"
La 0.000 0.000 0.000
Bi 2.680 2.680 2.630
S 0.000 2.680 2.630
S 2.680 0.000 2.630
Cl 2.680 2.680 0.000
```

B:
LaBiS2Cl after structural relaxation, computed with PBE.

Calculated values
**Space-group type**: No. 123
**Calculated volume**: 33.20 Å³/atom
**Magnetic moment**: 1.0 μB per formula unit

Cell and atoms, written as extended XYZ:
```
5
Lattice="5.578 0.000 0.000 0.000 5.578 0.000 0.000 0.000 5.335" Properties=species:S:1:pos:R:3 pbc="T T T"
La 0.000 0.000 0.000
Bi 2.789 2.789 2.668
S 0.000 2.789 0.000
S 2.789 0.000 0.000
Cl 0.000 0.000 2.668
```

The least stable of them is A.

A:
LaBiSCl2 after structural relaxation, computed with PBE.

Calculated values
**Space-group type**: No. 123
**Calculated volume**: 32.45 Å³/atom
**Magnetic moment**: 1.1 μB per formula unit

Cell and atoms, written as extended XYZ:
```
5
Lattice="5.466 0.000 0.000 0.000 5.466 0.000 0.000 0.000 5.431" Properties=species:S:1:pos:R:3 pbc="T T T"
La 0.000 0.000 0.000
Bi 2.733 2.733 2.715
S 2.733 2.733 0.000
Cl 0.000 2.733 2.715
Cl 2.733 0.000 2.715
```

B:
LaBiSCl2 after structural relaxation, computed with PBE.

Calculated values
**Space-group type**: No. 123
**Calculated volume**: 34.53 Å³/atom
**Magnetic moment**: 2.0 μB per formula unit

Cell and atoms, written as extended XYZ:
```
5
Lattice="5.497 0.000 0.000 0.000 5.497 0.000 0.000 0.000 5.714" Properties=species:S:1:pos:R:3 pbc="T T T"
La 0.000 0.000 0.000
Bi 2.749 2.749 2.857
S 0.000 0.000 2.857
Cl 0.000 2.749 0.000
Cl 2.749 0.000 0.000
```

The least stable of them is A.

A:
LiBi2Cl after structural relaxation, computed with PBE.

Calculated values
**Space-group type**: No. 225
**Calculated volume**: 25.34 Å³/atom
**Magnetic moment**: 0.0 μB per formula unit

Cell and atoms, written as extended XYZ:
```
4
Lattice="0.000 3.701 3.701 3.701 0.000 3.701 3.701 3.701 0.000" Properties=species:S:1:pos:R:3 pbc="T T T"
Li 0.000 0.000 0.000
Bi 1.850 1.850 1.850
Bi 5.551 5.551 5.551
Cl 3.701 3.701 3.701
```

B:
LiBi2Cl after structural relaxation, computed with PBE.

Calculated values
**Space-group type**: No. 122
**Calculated volume**: 31.09 Å³/atom
**Magnetic moment**: 0.0 μB per formula unit

Cell and atoms, written as extended XYZ:
```
8
Lattice="-2.197 2.197 12.885 2.197 -2.197 12.885 2.197 2.197 -12.885" Properties=species:S:1:pos:R:3 pbc="T T T"
Li 0.000 0.000 0.000
Li 0.000 2.197 6.443
Bi 3.295 1.002 -3.221
Bi 1.002 1.098 3.221
Bi -1.098 1.194 9.664
Bi 1.194 1.098 16.106
Cl 2.197 0.000 6.443
Cl 0.000 0.000 12.885
```

The least stable of them is A.

A:
LiBi3Cl after structural relaxation, computed with PBE.

Calculated values
**Space-group type**: No. 221
**Calculated volume**: 28.26 Å³/atom
**Magnetic moment**: 0.0 μB per formula unit

Cell and atoms, written as extended XYZ:
```
5
Lattice="5.208 0.000 0.000 0.000 5.208 0.000 0.000 0.000 5.208" Properties=species:S:1:pos:R:3 pbc="T T T"
Li 0.000 0.000 0.000
Bi 0.000 0.000 2.604
Bi 0.000 2.604 0.000
Bi 2.604 0.000 0.000
Cl 2.604 2.604 2.604
```

B:
LiBi3Cl after structural relaxation, computed with PBE.

Calculated values
**Space-group type**: No. 221
**Calculated volume**: 35.04 Å³/atom
**Magnetic moment**: 0.0 μB per formula unit

Cell and atoms, written as extended XYZ:
```
5
Lattice="5.596 0.000 0.000 0.000 5.596 0.000 0.000 0.000 5.596" Properties=species:S:1:pos:R:3 pbc="T T T"
Li 0.000 0.000 0.000
Bi 0.000 2.798 2.798
Bi 2.798 0.000 2.798
Bi 2.798 2.798 0.000
Cl 2.798 2.798 2.798
```

The least stable of them is B.

A:
Li2BiCl after structural relaxation, computed with PBE.

Calculated values
**Space-group type**: No. 166
**Calculated volume**: 20.66 Å³/atom
**Magnetic moment**: 0.0 μB per formula unit

Cell and atoms, written as extended XYZ:
```
4
Lattice="1.758 1.015 7.719 -1.758 1.015 7.719 0.000 -2.030 7.719" Properties=species:S:1:pos:R:3 pbc="T T T"
Li 0.000 0.000 5.334
Li 0.000 0.000 17.822
Bi 0.000 0.000 0.000
Cl 0.000 0.000 11.578
```

B:
Li2BiCl after structural relaxation, computed with PBE.

Calculated values
**Space-group type**: No. 122
**Calculated volume**: 24.57 Å³/atom
**Magnetic moment**: 0.0 μB per formula unit

Cell and atoms, written as extended XYZ:
```
8
Lattice="-3.381 3.381 4.298 3.381 -3.381 4.298 3.381 3.381 -4.298" Properties=species:S:1:pos:R:3 pbc="T T T"
Li 5.072 1.148 -1.075
Li 1.148 1.691 1.075
Li -1.691 2.234 3.224
Li 2.234 1.691 5.373
Bi 3.381 0.000 2.149
Bi 0.000 0.000 4.298
Cl 0.000 0.000 0.000
Cl 0.000 3.381 2.149
```

C:
Li2BiCl after structural relaxation, computed with PBE.

Calculated values
**Space-group type**: No. 123
**Calculated volume**: 21.06 Å³/atom
**Magnetic moment**: 0.0 μB per formula unit

Cell and atoms, written as extended XYZ:
```
4
Lattice="3.291 0.000 0.000 0.000 3.291 0.000 0.000 0.000 7.774" Properties=species:S:1:pos:R:3 pbc="T T T"
Li 0.000 0.000 1.558
Li 0.000 0.000 6.216
Bi 1.646 1.646 3.887
Cl 1.646 1.646 0.000
```

The least stable of them is B.

A:
Li3BiCl6 after structural relaxation, computed with PBE.

Calculated values
**Space-group type**: No. 2
**Calculated volume**: 30.33 Å³/atom
**Magnetic moment**: 0.0 μB per formula unit

Cell and atoms, written as extended XYZ:
```
10
Lattice="7.396 0.000 0.000 3.590 6.585 0.000 3.590 2.143 6.228" Properties=species:S:1:pos:R:3 pbc="T T T"
Li 0.000 0.000 0.000
Li 1.795 1.072 3.114
Li 1.795 3.292 0.000
Bi 7.288 4.364 3.114
Cl 5.386 3.472 4.847
Cl 5.416 5.729 1.684
Cl 7.076 6.595 4.707
Cl 7.500 2.133 1.521
Cl 9.160 2.999 4.544
Cl 9.190 5.256 1.381
```

B:
Li3BiCl6 after structural relaxation, computed with PBE.

Calculated values
**Space-group type**: No. 65
**Calculated volume**: 24.07 Å³/atom
**Magnetic moment**: 0.0 μB per formula unit

Cell and atoms, written as extended XYZ:
```
10
Lattice="4.242 -6.492 0.000 4.242 6.492 0.000 0.000 0.000 4.369" Properties=species:S:1:pos:R:3 pbc="T T T"
Li 0.000 0.000 0.000
Li 2.121 3.246 2.185
Li 2.121 -3.246 2.185
Bi 4.242 0.000 0.000
Cl 1.767 1.626 0.000
Cl 1.767 -1.626 0.000
Cl 4.242 1.820 2.185
Cl 4.242 -1.820 2.185
Cl 6.718 1.626 0.000
Cl 6.718 -1.626 0.000
```

The least stable of them is B.

A:
LiBiCl2 after structural relaxation, computed with PBE.

Calculated values
**Space-group type**: No. 122
**Calculated volume**: 26.81 Å³/atom
**Magnetic moment**: 0.0 μB per formula unit

Cell and atoms, written as extended XYZ:
```
8
Lattice="-3.302 3.302 4.917 3.302 -3.302 4.917 3.302 3.302 -4.917" Properties=species:S:1:pos:R:3 pbc="T T T"
Li 0.000 0.000 0.000
Li 0.000 3.302 2.459
Bi 3.302 0.000 2.459
Bi 0.000 0.000 4.917
Cl 4.953 1.058 -1.229
Cl 1.058 1.651 1.229
Cl -1.651 2.244 3.688
Cl 2.244 1.651 6.147
```

B:
LiBiCl2 after structural relaxation, computed with PBE.

Calculated values
**Space-group type**: No. 166
**Calculated volume**: 26.08 Å³/atom
**Magnetic moment**: 0.0 μB per formula unit

Cell and atoms, written as extended XYZ:
```
4
Lattice="1.807 1.043 9.220 -1.807 1.043 9.220 0.000 -2.087 9.220" Properties=species:S:1:pos:R:3 pbc="T T T"
Li 0.000 0.000 0.000
Bi 0.000 0.000 13.830
Cl 0.000 0.000 2.165
Cl 0.000 0.000 25.494
```

The least stable of them is A.

A:
LiBiCl2 after structural relaxation, computed with PBE.

Calculated values
**Space-group type**: No. 166
**Calculated volume**: 23.85 Å³/atom
**Magnetic moment**: 0.0 μB per formula unit

Cell and atoms, written as extended XYZ:
```
4
Lattice="1.821 1.051 8.309 -1.821 1.051 8.309 0.000 -2.102 8.309" Properties=species:S:1:pos:R:3 pbc="T T T"
Li 0.000 0.000 0.000
Bi 0.000 0.000 12.463
Cl 0.000 0.000 9.729
Cl 0.000 0.000 15.197
```

B:
LiBiCl2 after structural relaxation, computed with PBE.

Calculated values
**Space-group type**: No. 225
**Calculated volume**: 23.91 Å³/atom
**Magnetic moment**: 0.0 μB per formula unit

Cell and atoms, written as extended XYZ:
```
4
Lattice="0.000 3.630 3.630 3.630 0.000 3.630 3.630 3.630 0.000" Properties=species:S:1:pos:R:3 pbc="T T T"
Li 0.000 0.000 0.000
Bi 3.630 3.630 3.630
Cl 1.815 1.815 1.815
Cl 5.445 5.445 5.445
```

The least stable of them is B.